This record from Alexandria describes an optimized crystal structure of ZnCr2O4. The functional is PBE with a Hubbard U. Values from VASP.

The space-group type is Pmmn. As for the size of the total moment: 0.86 μB/atom. As for the final energy: -6.861 eV/atom.

The structure in Quantum ESPRESSO input format:
```
&SYSTEM
  ibrav = 0, nat = 28, ntyp = 3
/
ATOMIC_SPECIES
O 16.00 O.upf
Cr 52.00 Cr.upf
Zn 65.41 Zn.upf
CELL_PARAMETERS angstrom
-0.6995 4.1257 -2.9714
-1.8519 -3.4958 -4.4179
-9.6369 0.8125 3.3967
ATOMIC_POSITIONS crystal
O 0.1658 0.2534 0.6403
O 0.1658 0.2534 0.3597
O 0.6927 0.5000 0.3469
Cr 0.5000 0.7500 0.7500
Cr 0.9897 0.0000 0.7358
O 0.3073 0.0000 0.8469
Cr 0.0103 0.5000 0.7642
O 0.6927 0.5000 0.6531
O 0.6426 0.0000 0.3566
Cr 0.5000 0.2500 0.2500
Zn 0.0403 0.0000 0.0000
O 0.3574 0.5000 0.8566
O 0.6426 0.0000 0.6434
Cr 0.5000 0.7500 0.2500
O 0.8342 0.2466 0.8597
Zn 0.3620 0.0000 0.5000
Cr 0.0103 0.5000 0.2358
O 0.1658 0.7466 0.6403
O 0.3073 0.0000 0.1531
O 0.8342 0.7534 0.1403
Cr 0.5000 0.2500 0.7500
O 0.8342 0.2466 0.1403
O 0.1658 0.7466 0.3597
Zn 0.6380 0.5000 0.0000
O 0.8342 0.7534 0.8597
Zn 0.9597 0.5000 0.5000
Cr 0.9897 0.0000 0.2642
O 0.3574 0.5000 0.1434
```